# 1
This record from Alexandria describes an optimized crystal structure of YUOs2. The functional is PBE-GGA.

It has space group Fm-3m (No. 225), with a = 6.816 Å, b = 6.816 Å, c = 6.816 Å, α = 90.00°, β = 90.00° and γ = 90.00°. The distinct sites, in fractional coordinates, are Y at (0.000, 0.000, 0.000), U at (0.000, 0.000, 0.500) and Os at (0.250, 0.250, 0.250).

***

# 2
This record from Alexandria describes an optimized crystal structure of UZnOs. The functional is PBE-GGA.

It has space group C2/m (No. 12), with a = 9.717 Å, b = 4.681 Å, c = 4.857 Å, α = 90.00°, β = 92.34° and γ = 90.00°. The distinct sites, in fractional coordinates, are U at (0.108, 0.000, 0.326), Zn at (0.080, 0.500, 0.765) and Os at (0.204, 0.000, 0.847).

***

# 3
This record from Alexandria describes an optimized crystal structure of UZn20Os2. The functional is PBE-GGA.

It has space group Fd-3m (No. 227, origin choice 2), with a = 14.276 Å, b = 14.276 Å, c = 14.276 Å, α = 90.00°, β = 90.00° and γ = 90.00°. The distinct sites, in fractional coordinates, are U at (0.125, 0.125, 0.125), Zn at (0.000, 0.000, 0.000), Zn at (0.012, 0.375, 0.875), Zn at (0.060, 0.060, 0.324) and Os at (0.000, 0.000, 0.500).

***

# 4
This record from Alexandria describes an optimized crystal structure of UZnOs. The functional is PBE-GGA.

It has space group I4mm (No. 107), with a = 3.060 Å, b = 3.060 Å, c = 11.389 Å, α = 90.00°, β = 90.00° and γ = 90.00°. The distinct sites, in fractional coordinates, are U at (0.000, 0.000, 0.000), Zn at (0.000, 0.000, 0.703) and Os at (0.000, 0.000, 0.346).

***

# 5
This record from Alexandria describes an optimized crystal structure of UZn4Os. The functional is PBE-GGA.

It has space group F-43m (No. 216), with a = 7.271 Å, b = 7.271 Å, c = 7.271 Å, α = 90.00°, β = 90.00° and γ = 90.00°. The distinct sites, in fractional coordinates, are U at (0.000, 0.000, 0.000), Zn at (0.124, 0.124, 0.376) and Os at (0.250, 0.250, 0.750).

***

# 6
This record from Alexandria describes an optimized crystal structure of Zr2UOs. The functional is PBE-GGA.

For the relative energy among the computed polymorphs, the calculation gives 0 meV per atom.

It has space group P4/mmm (No. 123), with a = 3.217 Å, b = 3.217 Å, c = 7.964 Å, α = 90.00°, β = 90.00° and γ = 90.00°. The distinct sites, in fractional coordinates, are Zr at (0.000, 0.000, 0.211), U at (0.500, 0.500, 0.500) and Os at (0.500, 0.500, 0.000).

***

Computed values of E (unit: eV per atom) for the preceding records, in sequence: -10.075 -7.997 -2.647 -7.870 -4.522 -9.956.
Computed values of ΔH_f (0 K) (unit: meV/atom) for the preceding records, in sequence: -22 -66 -72 61 80 -52.